1.
Crystalline Te2W3S4 at its relaxed geometry, computed with GGA-PBEsol.

Structure (CIF):
```
data_Te2W3S4
_chemical_formula_sum 'Te2 W3 S4'
_cell_length_a 3.2510
_cell_length_b 3.2510
_cell_length_c 20.4450
_cell_angle_alpha 90.00
_cell_angle_beta 90.00
_cell_angle_gamma 120.00
_space_group_name_H-M_alt 'P 1'
_space_group_IT_number 1
_space_group_name_Hall 'P 1'
loop_
_atom_site_label
_atom_site_type_symbol
_atom_site_fract_x
_atom_site_fract_y
_atom_site_fract_z
Te1 Te 0.6667 0.3333 0.4277
Te2 Te 0.6667 0.3333 0.2397
W1 W 0.0000 0.0000 0.9644
W2 W 0.0000 0.0000 0.3337
W3 W 0.6667 0.3333 0.6610
S1 S 0.0000 0.0000 0.5860
S2 S 0.6667 0.3333 0.0393
S3 S 0.6667 0.3333 0.8895
S4 S 0.0000 0.0000 0.7358
```

Summary:
- space group = No. 156
- M_tot (μB per atom) = 0.000
- E above lowest polymorph (kJ/mol of atoms) = 0.2

2.
Crystalline LaAg2RuS at its relaxed geometry, computed with GGA-PBEsol.

Structure (CIF):
```
data_LaAg2RuS
_chemical_formula_sum 'La1 Ag2 Ru1 S1'
_cell_length_a 5.1655
_cell_length_b 5.4392
_cell_length_c 5.4392
_cell_angle_alpha 90.00
_cell_angle_beta 90.00
_cell_angle_gamma 90.00
_space_group_name_H-M_alt 'P 1'
_space_group_IT_number 1
_space_group_name_Hall 'P 1'
loop_
_atom_site_label
_atom_site_type_symbol
_atom_site_fract_x
_atom_site_fract_y
_atom_site_fract_z
Ru1 Ru 0.5000 0.5000 0.5000
S1 S 0.5000 0.0000 0.0000
Ag1 Ag 0.0000 0.0000 0.5000
Ag2 Ag 0.0000 0.5000 0.0000
La1 La 0.0000 0.0000 0.0000
```

Summary:
- uncorrected energy (eV/atom) = -3.86
- space group = No. 123
- M_tot (μB per atom) = 0.607

3.
Crystalline Pm2ZnRu at its relaxed geometry, computed with GGA-PBEsol.

Structure (CIF):
```
data_Pm2ZnRu
_chemical_formula_sum 'Pm2 Zn1 Ru1'
_cell_length_a 4.9521
_cell_length_b 4.9521
_cell_length_c 4.9521
_cell_angle_alpha 60.00
_cell_angle_beta 60.00
_cell_angle_gamma 60.00
_space_group_name_H-M_alt 'P 1'
_space_group_IT_number 1
_space_group_name_Hall 'P 1'
loop_
_atom_site_label
_atom_site_type_symbol
_atom_site_fract_x
_atom_site_fract_y
_atom_site_fract_z
Ru1 Ru 0.5000 0.5000 0.5000
Zn1 Zn 0.0000 0.0000 0.0000
Pm1 Pm 0.2500 0.2500 0.2500
Pm2 Pm 0.7500 0.7500 0.7500
```

Summary:
- uncorrected energy (eV/atom) = -5.71
- space group = No. 225
- M_tot (μB per atom) = 0.000

4.
Crystalline SrAg2Ir at its relaxed geometry, computed with GGA-PBEsol.

Structure (CIF):
```
data_SrAg2Ir
_chemical_formula_sum 'Sr1 Ag2 Ir1'
_cell_length_a 4.5680
_cell_length_b 4.5680
_cell_length_c 5.7374
_cell_angle_alpha 66.54
_cell_angle_beta 66.54
_cell_angle_gamma 60.00
_space_group_name_H-M_alt 'P 1'
_space_group_IT_number 1
_space_group_name_Hall 'P 1'
loop_
_atom_site_label
_atom_site_type_symbol
_atom_site_fract_x
_atom_site_fract_y
_atom_site_fract_z
Ag1 Ag 0.9489 0.9489 0.1533
Ag2 Ag 0.2327 0.2327 0.3020
Ir1 Ir 0.5622 0.5622 0.3134
Sr1 Sr 0.7534 0.7534 0.7398
```

Summary:
- space group = No. 160
- M_tot (μB per atom) = 0.000
- E above lowest polymorph (kJ/mol of atoms) = 0.0

5.
Crystalline FeNi2 at its relaxed geometry, computed with GGA-PBEsol.

Structure (CIF):
```
data_FeNi2
_chemical_formula_sum 'Fe3 Ni6'
_cell_length_a 2.4323
_cell_length_b 6.7602
_cell_length_c 6.7602
_cell_angle_alpha 120.00
_cell_angle_beta 90.00
_cell_angle_gamma 90.00
_space_group_name_H-M_alt 'P 1'
_space_group_IT_number 1
_space_group_name_Hall 'P 1'
loop_
_atom_site_label
_atom_site_type_symbol
_atom_site_fract_x
_atom_site_fract_y
_atom_site_fract_z
Fe1 Fe 0.0000 0.6667 0.3333
Fe2 Fe 0.0000 0.3333 0.6667
Fe3 Fe 0.5000 0.0000 0.0000
Ni1 Ni 0.0000 0.6924 0.6924
Ni2 Ni 0.0000 0.0000 0.3076
Ni3 Ni 0.0000 0.3076 0.0000
Ni4 Ni 0.5000 0.3567 0.3567
Ni5 Ni 0.5000 0.0000 0.6433
Ni6 Ni 0.5000 0.6433 0.0000
```

Summary:
- uncorrected energy (eV/atom) = -7.09
- space group = No. 189
- M_tot (μB per atom) = 1.267

6.
Crystalline TiInTe2N at its relaxed geometry, computed with GGA-PBEsol.

Structure (CIF):
```
data_TiInTe2N
_chemical_formula_sum 'Ti1 In1 Te2 N1'
_cell_length_a 3.7069
_cell_length_b 5.5911
_cell_length_c 5.5911
_cell_angle_alpha 90.00
_cell_angle_beta 90.00
_cell_angle_gamma 90.00
_space_group_name_H-M_alt 'P 1'
_space_group_IT_number 1
_space_group_name_Hall 'P 1'
loop_
_atom_site_label
_atom_site_type_symbol
_atom_site_fract_x
_atom_site_fract_y
_atom_site_fract_z
N1 N 0.5000 0.0000 0.0000
Te1 Te 0.0000 0.0000 0.5000
Te2 Te 0.0000 0.5000 0.0000
Ti1 Ti 0.0000 0.0000 0.0000
In1 In 0.5000 0.5000 0.5000
```

Summary:
- uncorrected energy (eV/atom) = -5.55
- space group = No. 123
- M_tot (μB per atom) = 0.000

7.
Crystalline ZrAs at its relaxed geometry, computed with GGA-PBEsol.

Structure (CIF):
```
data_ZrAs
_chemical_formula_sum 'Zr1 As1'
_cell_length_a 4.2349
_cell_length_b 4.2349
_cell_length_c 4.2349
_cell_angle_alpha 60.00
_cell_angle_beta 60.00
_cell_angle_gamma 60.00
_space_group_name_H-M_alt 'P 1'
_space_group_IT_number 1
_space_group_name_Hall 'P 1'
loop_
_atom_site_label
_atom_site_type_symbol
_atom_site_fract_x
_atom_site_fract_y
_atom_site_fract_z
As1 As 0.0000 0.0000 0.0000
Zr1 Zr 0.2500 0.2500 0.2500
```

Summary:
- uncorrected energy (eV/atom) = -7.49
- space group = No. 216
- M_tot (μB per atom) = 0.000

8.
Crystalline ZnInAg2 at its relaxed geometry, computed with GGA-PBEsol.

Structure (CIF):
```
data_ZnInAg2
_chemical_formula_sum 'Zn1 In1 Ag2'
_cell_length_a 4.1050
_cell_length_b 4.0732
_cell_length_c 4.1127
_cell_angle_alpha 90.00
_cell_angle_beta 90.00
_cell_angle_gamma 90.00
_space_group_name_H-M_alt 'P 1'
_space_group_IT_number 1
_space_group_name_Hall 'P 1'
loop_
_atom_site_label
_atom_site_type_symbol
_atom_site_fract_x
_atom_site_fract_y
_atom_site_fract_z
Zn1 Zn 0.0000 0.5000 0.5000
Ag1 Ag 0.0000 0.0000 0.0000
Ag2 Ag 0.5000 0.0000 0.5000
In1 In 0.5000 0.5000 0.0000
```

Summary:
- uncorrected energy (eV/atom) = -2.80
- space group = No. 123
- M_tot (μB per atom) = 0.000

9.
Crystalline Na3MoCl at its relaxed geometry, computed with GGA-PBEsol.

Structure (CIF):
```
data_Na3MoCl
_chemical_formula_sum 'Na3 Mo1 Cl1'
_cell_length_a 5.3138
_cell_length_b 5.3138
_cell_length_c 5.3138
_cell_angle_alpha 90.00
_cell_angle_beta 90.00
_cell_angle_gamma 90.00
_space_group_name_H-M_alt 'P 1'
_space_group_IT_number 1
_space_group_name_Hall 'P 1'
loop_
_atom_site_label
_atom_site_type_symbol
_atom_site_fract_x
_atom_site_fract_y
_atom_site_fract_z
Na1 Na 0.0000 0.5000 0.0000
Na2 Na 0.0000 0.0000 0.5000
Na3 Na 0.5000 0.0000 0.0000
Mo1 Mo 0.5000 0.5000 0.5000
Cl1 Cl 0.0000 0.0000 0.0000
```

Summary:
- uncorrected energy (eV/atom) = -3.14
- space group = No. 221
- M_tot (μB per atom) = 1.103

10.
Crystalline SnBPO2 at its relaxed geometry, computed with GGA-PBEsol.

Structure (CIF):
```
data_SnBPO2
_chemical_formula_sum 'Sn1 B1 P1 O2'
_cell_length_a 3.5776
_cell_length_b 3.5776
_cell_length_c 4.2684
_cell_angle_alpha 90.00
_cell_angle_beta 90.00
_cell_angle_gamma 90.00
_space_group_name_H-M_alt 'P 1'
_space_group_IT_number 1
_space_group_name_Hall 'P 1'
loop_
_atom_site_label
_atom_site_type_symbol
_atom_site_fract_x
_atom_site_fract_y
_atom_site_fract_z
P1 P 0.0000 0.0000 0.5000
B1 B 0.0000 0.0000 0.0000
Sn1 Sn 0.5000 0.5000 0.5000
O1 O 0.0000 0.5000 0.0000
O2 O 0.5000 0.0000 0.0000
```

Summary:
- uncorrected energy (eV/atom) = -5.60
- space group = No. 123
- M_tot (μB per atom) = 0.000

11.
Crystalline TaZn2Si at its relaxed geometry, computed with GGA-PBEsol.

Structure (CIF):
```
data_TaZn2Si
_chemical_formula_sum 'Ta1 Zn2 Si1'
_cell_length_a 3.4257
_cell_length_b 3.4257
_cell_length_c 5.1510
_cell_angle_alpha 90.00
_cell_angle_beta 90.00
_cell_angle_gamma 90.00
_space_group_name_H-M_alt 'P 1'
_space_group_IT_number 1
_space_group_name_Hall 'P 1'
loop_
_atom_site_label
_atom_site_type_symbol
_atom_site_fract_x
_atom_site_fract_y
_atom_site_fract_z
Si1 Si 0.5000 0.5000 0.0000
Ta1 Ta 0.5000 0.5000 0.5000
Zn1 Zn 0.0000 0.0000 0.7534
Zn2 Zn 0.0000 0.0000 0.2466
```

Summary:
- uncorrected energy (eV/atom) = -5.24
- space group = No. 123
- M_tot (μB per atom) = 0.000

12.
Crystalline FeCu2Tc at its relaxed geometry, computed with GGA-PBEsol.

Structure (CIF):
```
data_FeCu2Tc
_chemical_formula_sum 'Fe1 Cu2 Tc1'
_cell_length_a 2.4946
_cell_length_b 4.3705
_cell_length_c 4.5867
_cell_angle_alpha 97.40
_cell_angle_beta 90.00
_cell_angle_gamma 106.58
_space_group_name_H-M_alt 'P 1'
_space_group_IT_number 1
_space_group_name_Hall 'P 1'
loop_
_atom_site_label
_atom_site_type_symbol
_atom_site_fract_x
_atom_site_fract_y
_atom_site_fract_z
Cu1 Cu 0.9973 0.9946 0.9789
Cu2 Cu 0.2490 0.4980 0.7666
Fe1 Fe 0.5037 0.0074 0.4817
Tc1 Tc 0.7500 0.5000 0.2728
```

Summary:
- space group = No. 8
- M_tot (μB per atom) = 0.393
- E above lowest polymorph (kJ/mol of atoms) = 0.0